Density functional theory data (PBE) for an optimized crystal structure of Al2AgRu.

a = 3.0545 Å, b = 3.0545 Å, c = 6.4263 Å
α = 90.00°, β = 90.00°, γ = 90.00°
With the nearest neighbours (Å) after each atom.
Sites, in units of the cell vectors:
Ru: 0.5000 0.5000 0.2500  8 Al 2.57
Ag: 0.5000 0.5000 0.7500  8 Al 2.82, 4 Ag 3.05
Al: 0.0000 0.0000 0.4673  4 Ru 2.57, 1 Al 2.79, 4 Ag 2.82
Al: 0.0000 0.0000 0.0327  4 Ru 2.57, 1 Al 2.79, 4 Ag 2.82

Computed properties:
Volume = 14.99 Å³/atom
Energy of formation = -0.4443 eV per atom

***

Density functional theory data (PBE) for an optimized crystal structure of Nd8Sm4Cd.

a = 11.1943 Å, b = 11.1943 Å, c = 7.8770 Å
α = 90.00°, β = 135.28°, γ = 120.00°
With the nearest neighbours (Å) after each atom.
Sites, in units of the cell vectors:
Nd: 0.4883 0.2441 0.7324  4 Sm 3.30-3.45, 1 Cd 3.46
Nd: 0.0074 0.7557 0.7631  4 Sm 3.38-3.44, 1 Cd 3.47
Nd: 0.5114 0.7557 0.7631  4 Sm 3.38-3.44, 1 Cd 3.47
Cd: 0.0000 0.5000 0.5000  8 Nd 3.46-3.47
Sm: 0.5000 0.0000 0.0000  8 Nd 3.42-3.45
Sm: 0.5000 0.5000 0.0000  8 Nd 3.42-3.45
Sm: 0.0000 0.0000 0.0000  8 Nd 3.30-3.38
Nd: 0.9926 0.7483 0.2369  4 Sm 3.38-3.44, 1 Cd 3.47
Nd: 0.0074 0.2517 0.7631  4 Sm 3.38-3.44, 1 Cd 3.47
Nd: 0.4886 0.2443 0.2369  4 Sm 3.38-3.44, 1 Cd 3.47
Sm: 0.0000 0.5000 0.0000  8 Nd 3.42-3.45
Nd: 0.9926 0.2443 0.2369  4 Sm 3.38-3.44, 1 Cd 3.47
Nd: 0.5117 0.7559 0.2676  4 Sm 3.30-3.45, 1 Cd 3.46

Computed properties:
Volume = 37.59 Å³/atom
Energy of formation = 0.4812 eV per atom

***

Density functional theory data (PBE) for an optimized crystal structure of InAgP2.

a = 5.8256 Å, b = 5.8256 Å, c = 7.0779 Å
α = 65.70°, β = 65.70°, γ = 90.00°
With the nearest neighbours (Å) after each atom.
Sites, in units of the cell vectors:
P: 0.8750 0.8566 0.7500  2 Ag 2.45, 2 In 2.58
Ag: 0.2500 0.7500 0.5000  4 P 2.45
P: 0.3750 0.3934 0.7500  2 Ag 2.45, 2 In 2.58
P: 0.1434 0.6250 0.2500  2 Ag 2.45, 2 In 2.58
In: 0.0000 0.0000 0.0000  4 P 2.58
P: 0.6066 0.1250 0.2500  2 Ag 2.45, 2 In 2.58
In: 0.7500 0.2500 0.5000  4 P 2.58
Ag: 0.5000 0.5000 0.0000  4 P 2.45

Computed properties:
Volume = 24.42 Å³/atom
Energy of formation = 0.2459 eV per atom

***

Density functional theory data (PBE) for an optimized crystal structure of Ni6Rh.

a = 5.2723 Å, b = 5.2723 Å, c = 5.2723 Å
α = 109.47°, β = 109.47°, γ = 109.47°
With the nearest neighbours (Å) after each atom.
Sites, in units of the cell vectors:
Ni: 0.7500 0.2500 0.5000  4 Ni 2.15
Ni: 0.2500 0.5000 0.7500  4 Ni 2.15
Rh: 0.0000 0.0000 0.0000  24 Ni 3.40
Ni: 0.7500 0.5000 0.2500  4 Ni 2.15
Ni: 0.5000 0.2500 0.7500  4 Ni 2.15
Ni: 0.2500 0.7500 0.5000  4 Ni 2.15
Ni: 0.5000 0.7500 0.2500  4 Ni 2.15

Computed properties:
Volume = 16.12 Å³/atom
Energy of formation = 1.2197 eV per atom

***

Density functional theory data (PBE) for an optimized crystal structure of ReAg2BAu.

a = 5.1792 Å, b = 3.9773 Å, c = 5.1792 Å
α = 90.00°, β = 90.00°, γ = 90.00°
With the nearest neighbours (Å) after each atom.
Sites, in units of the cell vectors:
Re: 0.5000 0.5000 0.5000  8 Ag 3.27
B: 0.0000 0.5000 0.0000  2 Au 1.99
Ag: 0.0000 0.0000 0.5000  2 Au 2.59
Au: 0.0000 0.0000 0.0000  2 B 1.99
Ag: 0.5000 0.0000 0.0000  2 Au 2.59

Computed properties:
Volume = 21.34 Å³/atom
Energy of formation = 1.7296 eV per atom

***

Density functional theory data (PBE) for an optimized crystal structure of TiBr4.

a = 6.2182 Å, b = 6.2183 Å, c = 7.3320 Å
α = 115.09°, β = 115.09°, γ = 90.00°
With the nearest neighbours (Å) after each atom.
Sites, in units of the cell vectors:
Ti: 0.0000 0.0000 0.0000  4 Br 2.34
Br: 0.3320 0.3320 0.2300  1 Ti 2.34
Br: 0.6680 0.1020 0.7700  1 Ti 2.34
Br: 0.8980 0.8980 0.2300  1 Ti 2.34
Br: 0.1020 0.6680 0.7700  1 Ti 2.34

Computed properties:
Volume = 45.37 Å³/atom
Electronic total energy = -4.116 eV/atom

***

Density functional theory data (PBE) for an optimized crystal structure of Ag2PdPt2.

a = 7.9045 Å, b = 7.9045 Å, c = 2.8044 Å
α = 90.00°, β = 90.00°, γ = 90.00°
With the nearest neighbours (Å) after each atom.
Sites, in units of the cell vectors:
Pt: 0.3281 0.1719 0.5000  6 Ag 2.66-2.77, 2 Pt 2.80
Ag: 0.8737 0.6263 0.0000  6 Pt 2.66-2.77, 3 Ag 2.80-2.82
Ag: 0.6263 0.1263 0.0000  6 Pt 2.66-2.77, 3 Ag 2.80-2.82
Pt: 0.6719 0.8281 0.5000  6 Ag 2.66-2.77, 2 Pt 2.80
Ag: 0.3737 0.8737 0.0000  6 Pt 2.66-2.77, 3 Ag 2.80-2.82
Ag: 0.1263 0.3737 0.0000  6 Pt 2.66-2.77, 3 Ag 2.80-2.82
Pd: 0.5000 0.5000 0.0000  2 Pd 2.80, 4 Ag 3.12
Pt: 0.1719 0.6719 0.5000  6 Ag 2.66-2.77, 2 Pt 2.80
Pt: 0.8281 0.3281 0.5000  6 Ag 2.66-2.77, 2 Pt 2.80
Pd: 0.0000 0.0000 0.0000  2 Pd 2.80, 4 Ag 3.12

Computed properties:
Volume = 17.52 Å³/atom
Energy of formation = 0.3303 eV per atom

***

Density functional theory data (PBE) for an optimized crystal structure of Sc5Ga.

a = 4.4268 Å, b = 4.4055 Å, c = 7.2003 Å
α = 107.81°, β = 90.00°, γ = 90.00°
With the nearest neighbours (Å) after each atom.
Sites, in units of the cell vectors:
Sc: 0.0000 0.3418 0.6836  2 Ga 3.09, 10 Sc 3.10-3.34
Ga: 0.0000 0.0000 0.0000  12 Sc 3.09-3.19
Sc: 0.5000 0.1672 0.3344  10 Sc 3.13-3.26, 2 Ga 3.19
Sc: 0.5000 0.5000 0.0000  8 Sc 3.10-3.18, 4 Ga 3.12
Sc: 0.5000 0.8328 0.6656  10 Sc 3.13-3.26, 2 Ga 3.19
Sc: 0.0000 0.6582 0.3164  2 Ga 3.09, 10 Sc 3.10-3.34

Computed properties:
Volume = 22.28 Å³/atom
Energy of formation = -0.1880 eV per atom